First-principles (PBEsol) data for a relaxed structure of K2Pb, as listed in Alexandria via LeMat-Bulk.

The structure in POSCAR format:
```
K2Pb
1.0
6.2154 0.0000 0.0000
-3.1077 5.3827 0.0000
0.0000 0.0000 7.3396
K Pb
4 2
Direct
0.0000 0.0000 0.5000 K
0.6667 0.3333 0.7500 K
0.3333 0.6667 0.2500 K
0.0000 0.0000 0.0000 K
0.3333 0.6667 0.7500 Pb
0.6667 0.3333 0.2500 Pb
```

Results
For the spin magnetization, the calculation gives 0.00 μB/f.u. For the total DFT energy (no corrections), the calculation gives -2.048 eV per atom. The value obtained for the energy of formation is 0.04 eV/atom.